Here is crystalline Dy2CrSbO7 at its relaxed geometry from Alexandria via LeMat-Bulk. Energies are from PBE with a Hubbard U.

Cell and atoms, written as CIF:
```
data_Dy2CrSbO7
_chemical_formula_sum 'Dy8 Cr4 Sb4 O28'
_space_group_name_H-M_alt 'I m m a'
_space_group_IT_number 74
_space_group_name_Hall '-I 2b 2'
_cell_length_a 7.2529
_cell_length_b 7.3353
_cell_length_c 10.2651
_cell_angle_alpha 90.00
_cell_angle_beta 90.00
_cell_angle_gamma 90.00
loop_
_atom_site_label
_atom_site_type_symbol
_atom_site_fract_x
_atom_site_fract_y
_atom_site_fract_z
Dy1 Dy 0.0000 0.0000 0.0000
Dy2 Dy 0.2500 0.2500 0.2500
Cr1 Cr 0.2500 0.2500 0.7500
Sb1 Sb 0.0000 0.0000 0.5000
O1 O 0.0000 0.2500 0.1275
O2 O 0.0000 0.2500 0.4185
O3 O 0.0000 0.2500 0.8407
O4 O 0.2053 0.0367 0.6261
```

- Total energy: -7.6612 eV/atom
- Calculated density: 7.43 g/cm3